{
  "formula": "CrCd2GaPb",
  "functional": "PBE",
  "state": "relaxed",
  "cell": [[5.101, 0.000, 0.000], [0.000, 5.101, 0.000], [0.000, 0.000, 5.532]],
  "species": ["Cr", "Cd", "Cd", "Ga", "Pb"],
  "frac_coords": [[0.000, 0.000, 0.000], [0.000, 0.500, 0.500], [0.500, 0.000, 0.500], [0.500, 0.500, 0.500], [0.500, 0.500, 0.000]],
  "energy_ev_per_atom": -2.93,
  "spacegroup": "P4/mmm (123)",
  "e_form_ev_per_atom": 0.709
}